1.
Here is an optimized crystal structure of Er4ZnCdCu2 from the Alexandria database. Energies are from PBE-GGA.

abc: 5.002 5.002 8.657
angles: 73.21 73.21 60.00
Fractional positions:
Er  0.379  0.379  0.864
Er  0.872  0.872  0.385
Er  0.128  0.128  0.615
Er  0.621  0.621  0.136
Zn  0.500  0.500  0.500
Cd  0.000  0.000  0.000
Cu  0.748  0.748  0.756
Cu  0.252  0.252  0.244

Output
Calculated formation energy ... -0.272 eV/atom



2.
Here is an optimized crystal structure of SrCO2F from the Alexandria database. Energies are from PBE-GGA.

abc: 3.569 3.569 4.183
angles: 90.00 90.00 90.00
Fractional positions:
Sr  0.500  0.500  0.500
C  0.000  0.000  0.000
O  0.000  0.500  0.000
O  0.500  0.000  0.000
F  0.000  0.000  0.500

Output
ΔE_f (raw) ... -0.861 eV per atom



3.
Here is an optimized crystal structure of ZrIr2Os from the Alexandria database. Energies are from PBE-GGA.

abc: 9.458 9.458 9.458
angles: 17.10 17.10 17.10
Fractional positions:
Ir  0.994  0.994  0.994
Ir  0.506  0.506  0.506
Os  0.250  0.250  0.250
Zr  0.750  0.750  0.750

Output
Calculated formation energy ... 0.004 eV/atom
Energy relative to the lowest polymorph listed for this composition ... 472 meV/atom



no.,VASP energy (eV/f.u.)
1,-30.81
2,-27.00
3,-37.49